1.
Entry from the Alexandria database: Ag3BAs at its PBEsol-relaxed geometry (meta-GGA SCAN).

Summary:
Total magnetic moment: 0.00 μB/cell
Fermi-level density of states: 0.471 states/eV per atom

The structure in CIF format:
```
data_Ag3BAs
_space_group_name_H-M_alt 'P m -3 m'
_space_group_IT_number 221
_space_group_name_Hall '-P 4 2 3'
_cell_length_a 4.813
_cell_length_b 4.813
_cell_length_c 4.813
_cell_angle_alpha 90.00
_cell_angle_beta 90.00
_cell_angle_gamma 90.00
loop_
_atom_site_label
_atom_site_type_symbol
_atom_site_fract_x
_atom_site_fract_y
_atom_site_fract_z
Ag1 Ag 0.000 0.000 0.500
B1 B 0.500 0.500 0.500
As1 As 0.000 0.000 0.000
```

***

2.
Entry from the Alexandria database: TiBe2Pd2 at its PBEsol-relaxed geometry (meta-GGA SCAN).

Summary:
Total magnetic moment: 0.00 μB/cell
Fermi-level density of states: 0.662 states/eV per atom

The structure in CIF format:
```
data_TiBe2Pd2
_space_group_name_H-M_alt 'P 4/m b m'
_space_group_IT_number 127
_space_group_name_Hall '-P 4 2ab'
_cell_length_a 6.725
_cell_length_b 6.725
_cell_length_c 2.680
_cell_angle_alpha 90.00
_cell_angle_beta 90.00
_cell_angle_gamma 90.00
loop_
_atom_site_label
_atom_site_type_symbol
_atom_site_fract_x
_atom_site_fract_y
_atom_site_fract_z
Ti1 Ti 0.000 0.000 0.000
Be1 Be 0.117 0.383 0.000
Pd1 Pd 0.176 0.676 0.500
```

***

ΔH_f (0 K) values, unit eV per atom, following the record order: 1.2461, -0.5846.